CePr2C: optimized geometry, PBE.

a b c (Å): 10.286 10.286 10.286
angles (deg): 20.28 20.28 20.28
Fractional positions:
Ce: 0.000 0.000 0.000
Pr: 0.119 0.119 0.119
Pr: 0.881 0.881 0.881
C: 0.500 0.500 0.500

Formation energy, eV/atom: 0.14
DFT total energy, eV for the cell shown: -24.16
Space group: No. 166
D(E_F), states/eV per cell: 7.32



CePrCS: optimized geometry, PBE.

a b c (Å): 3.914 3.914 5.571
angles (deg): 90.00 90.00 90.00
Fractional positions:
Ce: 0.000 0.000 0.000
Pr: 0.500 0.500 0.500
C: 0.500 0.500 0.000
S: 0.000 0.000 0.500

DFT total energy, eV for the cell shown: -27.87
Space group: No. 123
D(E_F), states/eV per cell: 3.49



CePr2SnC: optimized geometry, PBE.

a b c (Å): 5.188 5.188 4.905
angles (deg): 90.00 90.00 90.00
Fractional positions:
Ce: 0.000 0.000 0.000
Pr: 0.000 0.500 0.500
Pr: 0.500 0.000 0.500
Sn: 0.500 0.500 0.000
C: 0.000 0.000 0.500

Formation energy, eV/atom: -0.44
DFT total energy, eV for the cell shown: -30.91
Space group: No. 123
D(E_F), states/eV per cell: 6.15



CePr2TlC: optimized geometry, PBE.

a b c (Å): 5.225 5.225 4.907
angles (deg): 90.00 90.00 90.00
Fractional positions:
Ce: 0.000 0.000 0.000
Pr: 0.000 0.500 0.500
Pr: 0.500 0.000 0.500
Tl: 0.500 0.500 0.000
C: 0.000 0.000 0.500

Formation energy, eV/atom: -0.26
DFT total energy, eV for the cell shown: -28.37
Space group: No. 123
D(E_F), states/eV per cell: 5.54